# 1
Compound: Tb2HoTm2
Source: the Alexandria database
Functional: PBE-GGA
Structure: relaxed

The structure in POSCAR format:
```
Tb2HoTm2
1.0
4.9745 0.0000 0.0000
-2.4873 5.5053 0.7227
0.0000 -1.4390 11.0320
Tb Tm Ho
4 4 2
Direct
0.4501 0.9002 0.1495
0.3502 0.7004 0.4499
0.5499 0.0998 0.8505
0.6498 0.2996 0.5501
0.1502 0.3005 0.0500
0.0500 0.1001 0.3496
0.8498 0.6995 0.9500
0.9500 0.8999 0.6504
0.7496 0.4993 0.2491
0.2504 0.5007 0.7509
```

Summary:
energy relative to the lowest polymorph listed for this composition	0.000	eV/atom
mass density	8.87	g/cm³
calculated formation energy	21	meV per atom
V	307.3	Å³ per cell

=====

# 2
Compound: Tb9Ho11Tm4
Source: the Alexandria database
Functional: PBE-GGA
Structure: relaxed

The structure in POSCAR format:
```
Tb9Ho11Tm4
1.0
3.6324 0.0000 0.0000
0.0000 13.8010 -5.8806
0.0000 0.0161 15.0016
Tb Ho Tm
9 11 4
Direct
0.5000 0.3692 0.8359
0.5000 0.2144 0.0687
0.5000 0.8359 0.3692
0.5000 0.5000 0.5000
0.5000 0.7856 0.9313
0.5000 0.1641 0.6308
0.5000 0.0687 0.2144
0.5000 0.6308 0.1641
0.5000 0.9313 0.7856
0.0000 0.8400 0.1600
0.0000 0.3678 0.6322
0.0000 0.5933 0.9550
0.0000 0.0450 0.4067
0.0000 0.7074 0.7074
0.0000 0.1600 0.8400
0.0000 0.0000 0.0000
0.0000 0.2926 0.2926
0.0000 0.9550 0.5933
0.0000 0.4067 0.0450
0.0000 0.6322 0.3678
0.5000 0.4457 0.2436
0.5000 0.7564 0.5543
0.5000 0.2436 0.4457
0.5000 0.5543 0.7564
```

Summary:
mass density	8.65	g/cm³
calculated formation energy	48	meV per atom
V	752.4	Å³ per cell

=====

# 3
Compound: Tb6HoTm4
Source: the Alexandria database
Functional: PBE-GGA
Structure: relaxed

The structure in POSCAR format:
```
Tb6HoTm4
1.0
5.6495 0.0000 0.0000
-2.8247 4.7852 0.0000
0.0000 0.0000 25.4467
Tm Ho Tb
8 2 12
Direct
0.4739 0.9478 0.3780
0.1573 0.3147 0.0431
0.8427 0.6853 0.9569
0.4739 0.9478 0.1220
0.5261 0.0522 0.6220
0.1573 0.3147 0.4569
0.8427 0.6853 0.5431
0.5261 0.0522 0.8780
0.1890 0.3780 0.7500
0.8110 0.6220 0.2500
0.1430 0.2861 0.1816
0.5237 0.0474 0.7500
0.8116 0.6233 0.3969
0.8116 0.6233 0.1031
0.5000 0.0000 0.0000
0.4763 0.9526 0.2500
0.5000 0.0000 0.5000
0.8570 0.7139 0.8184
0.1884 0.3767 0.6031
0.1430 0.2861 0.3184
0.8570 0.7139 0.6816
0.1884 0.3767 0.8969
```

Summary:
energy relative to the lowest polymorph listed for this composition	0.000	eV/atom
mass density	8.66	g/cm³
calculated formation energy	125	meV per atom
V	687.9	Å³ per cell

=====

# 4
Compound: TbHo4Tm3
Source: the Alexandria database
Functional: PBE-GGA
Structure: relaxed

The structure in POSCAR format:
```
TbHo4Tm3
1.0
-2.5621 -2.4623 -4.2645
-1.4747 -2.3072 2.2182
-8.8089 9.1219 3.6382
Ho Tm Tb
4 3 1
Direct
0.6038 0.5003 0.2077
0.2767 0.4989 0.5534
0.7233 0.5011 0.4466
0.3962 0.4997 0.7923
0.0000 0.5000 0.0000
0.1556 0.0008 0.3113
0.8444 0.9992 0.6887
0.5000 0.0000 0.0000
```

Summary:
energy relative to the lowest polymorph listed for this composition	0.219	eV/atom
mass density	8.72	g/cm³
calculated formation energy	219	meV per atom
V	252.3	Å³ per cell

=====

# 5
Compound: Tb2HoTm
Source: the Alexandria database
Functional: PBE-GGA
Structure: relaxed

The structure in POSCAR format:
```
Tb2HoTm
1.0
3.5541 0.0000 0.0000
1.7770 3.0779 0.0000
1.7770 1.0260 11.3710
Tb Tm Ho
2 1 1
Direct
0.2500 0.2500 0.2501
0.0832 0.0832 0.7504
0.6666 0.6666 0.0001
0.5002 0.5002 0.4994
```

Summary:
energy relative to the lowest polymorph listed for this composition	0.006	eV/atom
mass density	8.70	g/cm³
calculated formation energy	11	meV per atom
V	124.4	Å³ per cell

=====

# 6
Compound: Tb7Ho2Tm3
Source: the Alexandria database
Functional: PBE-GGA
Structure: relaxed

The structure in POSCAR format:
```
Tb7Ho2Tm3
1.0
-2.0652 -0.6236 2.8248
0.7254 -5.6403 -0.7148
14.7263 1.7278 11.1477
Tm Tb Ho
3 7 2
Direct
0.0000 0.2194 0.3680
0.0000 0.7806 0.6320
0.5000 0.5000 0.0000
0.0000 0.0000 0.0000
0.5000 0.8193 0.8194
0.0000 0.6777 0.1438
0.5000 0.2581 0.5360
0.5000 0.7419 0.4640
0.5000 0.1807 0.1806
0.0000 0.3223 0.8562
0.5000 0.7063 0.2959
0.5000 0.2937 0.7041
```

Summary:
energy relative to the lowest polymorph listed for this composition	0.000	eV/atom
mass density	8.58	g/cm³
calculated formation energy	89	meV per atom
V	377.1	Å³ per cell